! PBE CoPt4Rh2, relaxed; values from VASP
! Space group = No. 227
! Raw total energy = -6.2908 eV per atom
&SYSTEM
  ibrav = 0, nat = 28, ntyp = 3
/
ATOMIC_SPECIES
Co 58.93 Co.upf
Pt 195.08 Pt.upf
Rh 102.91 Rh.upf
CELL_PARAMETERS angstrom
0.000 6.060 6.060
6.060 0.000 6.060
6.060 6.060 0.000
ATOMIC_POSITIONS angstrom
Co 0.000 0.000 0.000
Co 3.030 3.030 0.000
Co 3.030 0.000 3.030
Co 0.000 3.030 3.030
Pt 6.060 3.030 3.030
Pt 4.545 4.545 1.218
Pt 4.545 1.218 4.545
Pt 7.872 4.545 4.545
Pt 7.575 7.575 4.248
Pt 7.575 4.248 7.575
Pt 10.902 7.575 7.575
Pt 3.030 6.060 3.030
Pt 3.030 3.030 6.060
Pt 6.060 6.060 6.060
Pt 1.218 4.545 4.545
Pt 4.545 7.872 4.545
Pt 4.545 4.545 7.872
Pt 4.248 7.575 7.575
Pt 7.575 10.902 7.575
Pt 7.575 7.575 10.902
Rh 3.283 3.283 3.283
Rh 5.806 5.806 3.283
Rh 5.806 3.283 5.806
Rh 8.836 6.313 6.313
Rh 3.283 5.806 5.806
Rh 6.313 8.836 6.313
Rh 6.313 6.313 8.836
Rh 8.836 8.836 8.836

=====

! PBE Co2PtRh, relaxed; values from VASP
! Space group = No. 119
! Raw total energy = -6.9143 eV per atom
&SYSTEM
  ibrav = 0, nat = 4, ntyp = 3
/
ATOMIC_SPECIES
Co 58.93 Co.upf
Pt 195.08 Pt.upf
Rh 102.91 Rh.upf
CELL_PARAMETERS angstrom
-1.871 1.871 3.776
1.871 -1.871 3.776
1.871 1.871 -3.776
ATOMIC_POSITIONS angstrom
Co 0.000 0.000 0.000
Co 0.000 1.871 1.888
Pt 0.000 0.000 3.776
Rh 1.871 0.000 1.888

=====

! PBE Co2PtRh, relaxed; values from VASP
! Space group = No. 139
! Raw total energy = -6.9296 eV per atom
&SYSTEM
  ibrav = 0, nat = 4, ntyp = 3
/
ATOMIC_SPECIES
Co 58.93 Co.upf
Pt 195.08 Pt.upf
Rh 102.91 Rh.upf
CELL_PARAMETERS angstrom
-1.900 1.900 3.658
1.900 -1.900 3.658
1.900 1.900 -3.658
ATOMIC_POSITIONS angstrom
Co 1.900 0.000 1.829
Co 0.000 1.900 1.829
Pt 0.000 0.000 0.000
Rh 0.000 0.000 3.658

=====

! PBE CoPt4Rh, relaxed; values from VASP
! Space group = No. 216
! Raw total energy = -6.0683 eV per atom
&SYSTEM
  ibrav = 0, nat = 6, ntyp = 3
/
ATOMIC_SPECIES
Co 58.93 Co.upf
Pt 195.08 Pt.upf
Rh 102.91 Rh.upf
CELL_PARAMETERS angstrom
0.000 3.668 3.668
3.668 0.000 3.668
3.668 3.668 0.000
ATOMIC_POSITIONS angstrom
Co 0.000 0.000 0.000
Pt 4.586 2.751 2.751
Pt 2.751 4.586 2.751
Pt 2.751 2.751 4.586
Pt 4.586 4.586 4.586
Rh 1.834 1.834 1.834

=====

! PBE CoPt2Rh, relaxed; values from VASP
! Space group = No. 25
! Raw total energy = -6.6571 eV per atom
&SYSTEM
  ibrav = 0, nat = 4, ntyp = 3
/
ATOMIC_SPECIES
Co 58.93 Co.upf
Pt 195.08 Pt.upf
Rh 102.91 Rh.upf
CELL_PARAMETERS angstrom
2.726 0.000 0.000
0.000 3.815 0.000
0.000 0.000 5.511
ATOMIC_POSITIONS angstrom
Co 0.000 0.000 0.000
Pt 0.000 0.000 2.823
Pt 1.363 1.907 1.337
Rh 1.363 1.907 4.220

=====

! PBE CoPt8Rh6, relaxed; values from VASP
! Space group = No. 148
! Raw total energy = -6.3851 eV per atom
&SYSTEM
  ibrav = 0, nat = 15, ntyp = 3
/
ATOMIC_SPECIES
Co 58.93 Co.upf
Pt 195.08 Pt.upf
Rh 102.91 Rh.upf
CELL_PARAMETERS angstrom
3.615 2.087 5.404
-3.615 2.087 5.404
0.000 -4.174 5.404
ATOMIC_POSITIONS angstrom
Co 0.000 0.000 0.000
Pt -2.431 0.017 7.467
Pt -1.230 -2.096 8.746
Pt 0.000 0.000 4.487
Pt 1.200 -2.114 7.467
Pt -1.200 2.114 8.746
Pt 0.000 0.000 11.725
Pt 1.230 2.096 7.467
Pt 2.431 -0.017 8.746
Rh -0.995 -1.927 6.060
Rh -2.166 -0.102 10.153
Rh -1.172 1.825 6.060
Rh 1.172 -1.825 10.153
Rh 2.166 0.102 6.060
Rh 0.995 1.927 10.153

=====

! PBE Co2Pt6Rh, relaxed; values from VASP
! Space group = No. 65
! Raw total energy = -6.4121 eV per atom
&SYSTEM
  ibrav = 0, nat = 9, ntyp = 3
/
ATOMIC_SPECIES
Co 58.93 Co.upf
Pt 195.08 Pt.upf
Rh 102.91 Rh.upf
CELL_PARAMETERS angstrom
2.261 -10.873 0.000
2.261 10.873 0.000
0.000 0.000 2.731
ATOMIC_POSITIONS angstrom
Co 2.261 7.016 0.000
Co 2.261 -7.016 0.000
Pt 2.261 9.384 1.366
Pt 2.261 4.706 1.366
Pt 2.261 2.324 0.000
Pt 2.261 -2.324 0.000
Pt 2.261 -4.706 1.366
Pt 2.261 -9.384 1.366
Rh 2.261 0.000 1.366

=====

! PBE Co2PtRh, relaxed; values from VASP
! Space group = No. 62
! Raw total energy = -6.9283 eV per atom
&SYSTEM
  ibrav = 0, nat = 16, ntyp = 3
/
ATOMIC_SPECIES
Co 58.93 Co.upf
Pt 195.08 Pt.upf
Rh 102.91 Rh.upf
CELL_PARAMETERS angstrom
4.666 0.000 0.000
0.000 4.262 0.000
0.000 0.000 10.645
ATOMIC_POSITIONS angstrom
Co 0.340 1.065 2.019
Co 0.383 1.065 4.639
Co 1.950 3.196 9.962
Co 1.992 3.196 7.342
Co 2.673 1.065 3.303
Co 2.716 1.065 0.684
Co 4.282 3.196 6.006
Co 4.325 3.196 8.626
Pt 0.449 1.065 7.272
Pt 1.884 3.196 1.949
Pt 2.782 1.065 8.696
Pt 4.217 3.196 3.374
Rh 0.457 1.065 10.028
Rh 1.876 3.196 4.705
Rh 2.790 1.065 5.940
Rh 4.208 3.196 0.618

=====

! PBE Co3Pt6Rh, relaxed; values from VASP
! Space group = No. 11
! Raw total energy = -6.5278 eV per atom
&SYSTEM
  ibrav = 0, nat = 20, ntyp = 3
/
ATOMIC_SPECIES
Co 58.93 Co.upf
Pt 195.08 Pt.upf
Rh 102.91 Rh.upf
CELL_PARAMETERS angstrom
7.233 0.000 0.000
0.000 4.442 0.000
-3.118 0.000 8.950
ATOMIC_POSITIONS angstrom
Co 0.035 1.110 2.092
Co 2.011 1.110 0.319
Co 1.008 3.331 3.280
Co 3.107 1.110 5.670
Co 2.104 3.331 8.631
Co 4.080 3.331 6.858
Pt -1.630 1.110 6.555
Pt 0.503 3.331 0.623
Pt -0.566 3.331 7.766
Pt 0.518 1.110 4.734
Pt 2.508 1.110 2.954
Pt 3.093 3.331 1.460
Pt 1.022 1.110 7.490
Pt 1.608 3.331 5.996
Pt 3.598 3.331 4.216
Pt 4.681 1.110 1.184
Pt 3.612 1.110 8.327
Pt 5.745 3.331 2.395
Rh -1.036 3.331 5.080
Rh 5.151 1.110 3.870

=====

! PBE Co2PtRh, relaxed; values from VASP
! Space group = No. 216
! Raw total energy = -6.7073 eV per atom
&SYSTEM
  ibrav = 0, nat = 4, ntyp = 3
/
ATOMIC_SPECIES
Co 58.93 Co.upf
Pt 195.08 Pt.upf
Rh 102.91 Rh.upf
CELL_PARAMETERS angstrom
0.000 3.008 3.008
3.008 0.000 3.008
3.008 3.008 0.000
ATOMIC_POSITIONS angstrom
Co 0.000 0.000 0.000
Co 1.504 1.504 1.504
Pt 4.512 4.512 4.512
Rh 3.008 3.008 3.008

=====

! PBE CoPt2Rh, relaxed; values from VASP
! Space group = No. 65
! Raw total energy = -6.6976 eV per atom
&SYSTEM
  ibrav = 0, nat = 4, ntyp = 3
/
ATOMIC_SPECIES
Co 58.93 Co.upf
Pt 195.08 Pt.upf
Rh 102.91 Rh.upf
CELL_PARAMETERS angstrom
2.721 -3.862 0.000
2.721 3.862 0.000
0.000 0.000 2.725
ATOMIC_POSITIONS angstrom
Co 0.000 0.000 0.000
Pt 1.360 1.931 1.363
Pt 1.360 -1.931 1.363
Rh 2.721 0.000 0.000

=====

! PBE CoPtRh3, relaxed; values from VASP
! Space group = No. 221
! Raw total energy = -5.9344 eV per atom
&SYSTEM
  ibrav = 0, nat = 5, ntyp = 3
/
ATOMIC_SPECIES
Co 58.93 Co.upf
Pt 195.08 Pt.upf
Rh 102.91 Rh.upf
CELL_PARAMETERS angstrom
4.403 0.000 0.000
0.000 4.403 0.000
0.000 0.000 4.403
ATOMIC_POSITIONS angstrom
Co 0.000 0.000 0.000
Pt 2.201 2.201 2.201
Rh 0.000 0.000 2.201
Rh 0.000 2.201 0.000
Rh 2.201 0.000 0.000

=====

! PBE CoPt2Rh, relaxed; values from VASP
! Space group = No. 8
! Raw total energy = -6.6689 eV per atom
&SYSTEM
  ibrav = 0, nat = 4, ntyp = 3
/
ATOMIC_SPECIES
Co 58.93 Co.upf
Pt 195.08 Pt.upf
Rh 102.91 Rh.upf
CELL_PARAMETERS angstrom
4.530 -1.366 0.000
4.530 1.366 0.000
-0.842 0.000 4.634
ATOMIC_POSITIONS angstrom
Co 0.000 0.000 0.000
Pt 4.129 0.000 2.353
Pt 6.559 0.000 1.112
Rh 1.694 0.000 3.496

=====

! PBE Co5Pt2Rh, relaxed; values from VASP
! Space group = No. 107
! Raw total energy = -6.8974 eV per atom
&SYSTEM
  ibrav = 0, nat = 8, ntyp = 3
/
ATOMIC_SPECIES
Co 58.93 Co.upf
Pt 195.08 Pt.upf
Rh 102.91 Rh.upf
CELL_PARAMETERS angstrom
-2.703 2.703 3.526
2.703 -2.703 3.526
2.703 2.703 -3.526
ATOMIC_POSITIONS angstrom
Co 0.000 0.000 0.000
Co 1.484 1.484 1.623
Co 1.219 -1.219 5.149
Co -1.219 1.219 5.149
Co 1.219 1.219 5.149
Pt 2.703 0.000 3.390
Pt 0.000 2.703 3.390
Rh 0.000 0.000 3.142

=====

! PBE Co2Pt5Rh4, relaxed; values from VASP
! Space group = No. 12
! Raw total energy = -6.5336 eV per atom
&SYSTEM
  ibrav = 0, nat = 11, ntyp = 3
/
ATOMIC_SPECIES
Co 58.93 Co.upf
Pt 195.08 Pt.upf
Rh 102.91 Rh.upf
CELL_PARAMETERS angstrom
4.614 -2.648 0.000
4.614 2.648 0.000
-4.095 0.000 6.805
ATOMIC_POSITIONS angstrom
Co 0.764 0.000 0.974
Co 4.370 0.000 5.831
Pt -2.048 0.000 3.402
Pt 3.120 1.310 1.138
Pt 2.014 1.310 5.667
Pt 3.120 -1.310 1.138
Pt 2.014 -1.310 5.667
Rh -0.293 0.000 5.508
Rh 1.188 0.000 3.295
Rh 3.946 0.000 3.510
Rh 5.427 0.000 1.296

=====

! PBE CoPt2Rh4, relaxed; values from VASP
! Space group = No. 63
! Raw total energy = -6.7040 eV per atom
&SYSTEM
  ibrav = 0, nat = 14, ntyp = 3
/
ATOMIC_SPECIES
Co 58.93 Co.upf
Pt 195.08 Pt.upf
Rh 102.91 Rh.upf
CELL_PARAMETERS angstrom
1.353 -8.453 0.000
1.353 8.453 0.000
0.000 0.000 9.318
ATOMIC_POSITIONS angstrom
Co 1.353 6.348 6.988
Co 1.353 -6.348 2.329
Pt 1.353 2.180 5.580
Pt 1.353 2.180 8.396
Pt 1.353 -2.180 0.921
Pt 1.353 -2.180 3.737
Rh 0.000 0.000 0.000
Rh 0.000 0.000 4.659
Rh 1.353 3.920 1.076
Rh 1.353 3.920 3.583
Rh 1.353 0.061 2.329
Rh 1.353 -0.061 6.988
Rh 1.353 -3.920 5.735
Rh 1.353 -3.920 8.242

=====

! PBE Co4PtRh, relaxed; values from VASP
! Space group = No. 71
! Raw total energy = -6.9603 eV per atom
&SYSTEM
  ibrav = 0, nat = 6, ntyp = 3
/
ATOMIC_SPECIES
Co 58.93 Co.upf
Pt 195.08 Pt.upf
Rh 102.91 Rh.upf
CELL_PARAMETERS angstrom
-2.039 2.622 3.530
2.039 -2.622 3.530
2.039 2.622 -3.530
ATOMIC_POSITIONS angstrom
Co 2.039 -1.313 2.354
Co 0.000 1.309 1.176
Co 2.039 1.313 2.354
Co 0.000 3.935 1.176
Pt 0.000 0.000 3.530
Rh 2.039 0.000 0.000

=====

! PBE CoPt3Rh4, relaxed; values from VASP
! Space group = No. 71
! Raw total energy = -6.5928 eV per atom
&SYSTEM
  ibrav = 0, nat = 8, ntyp = 3
/
ATOMIC_SPECIES
Co 58.93 Co.upf
Pt 195.08 Pt.upf
Rh 102.91 Rh.upf
CELL_PARAMETERS angstrom
-1.350 2.117 10.735
1.350 -2.117 10.735
1.350 2.117 -10.735
ATOMIC_POSITIONS angstrom
Co 0.000 0.000 0.000
Pt 0.000 0.000 7.257
Pt 0.000 0.000 10.735
Pt 0.000 0.000 14.214
Rh 1.350 0.000 2.053
Rh 0.000 0.000 4.580
Rh 0.000 0.000 16.891
Rh 0.000 2.117 8.682

=====

! PBE CoPt3Rh3, relaxed; values from VASP
! Space group = No. 65
! Raw total energy = -6.5968 eV per atom
&SYSTEM
  ibrav = 0, nat = 14, ntyp = 3
/
ATOMIC_SPECIES
Co 58.93 Co.upf
Pt 195.08 Pt.upf
Rh 102.91 Rh.upf
CELL_PARAMETERS angstrom
3.658 -3.958 0.000
3.658 3.958 0.000
0.000 0.000 7.469
ATOMIC_POSITIONS angstrom
Co 3.658 2.108 0.000
Co 3.658 -2.108 0.000
Pt 3.658 2.010 3.734
Pt 1.929 0.000 3.734
Pt 2.192 0.000 0.000
Pt 5.123 0.000 0.000
Pt 5.386 0.000 3.734
Pt 3.658 -2.010 3.734
Rh 0.000 0.000 1.726
Rh 0.000 0.000 5.743
Rh 1.829 1.979 1.784
Rh 1.829 1.979 5.685
Rh 1.829 -1.979 1.784
Rh 1.829 -1.979 5.685

=====

! PBE Co2PtRh, relaxed; values from VASP
! Space group = No. 160
! Raw total energy = -6.8661 eV per atom
&SYSTEM
  ibrav = 0, nat = 4, ntyp = 3
/
ATOMIC_SPECIES
Co 58.93 Co.upf
Pt 195.08 Pt.upf
Rh 102.91 Rh.upf
CELL_PARAMETERS angstrom
1.342 0.775 8.527
-1.342 0.775 8.527
0.000 -1.549 8.527
ATOMIC_POSITIONS angstrom
Co 0.000 0.000 0.000
Co 0.000 0.000 6.612
Pt 0.000 0.000 12.987
Rh 0.000 0.000 19.127

=====

! PBE CoPtRh3, relaxed; values from VASP
! Space group = No. 63
! Raw total energy = -7.0320 eV per atom
&SYSTEM
  ibrav = 0, nat = 10, ntyp = 3
/
ATOMIC_SPECIES
Co 58.93 Co.upf
Pt 195.08 Pt.upf
Rh 102.91 Rh.upf
CELL_PARAMETERS angstrom
1.922 -9.397 0.000
1.922 9.397 0.000
0.000 0.000 3.846
ATOMIC_POSITIONS angstrom
Co 1.922 4.705 2.885
Co 1.922 -4.705 0.962
Pt 1.922 8.402 2.885
Pt 1.922 -8.402 0.962
Rh 1.922 6.442 0.962
Rh 1.922 2.968 0.962
Rh 1.922 0.993 2.885
Rh 1.922 -0.993 0.962
Rh 1.922 -2.968 2.885
Rh 1.922 -6.442 2.885

=====

! PBE Co2PtRh2, relaxed; values from VASP
! Space group = No. 127
! Raw total energy = -6.8748 eV per atom
&SYSTEM
  ibrav = 0, nat = 10, ntyp = 3
/
ATOMIC_SPECIES
Co 58.93 Co.upf
Pt 195.08 Pt.upf
Rh 102.91 Rh.upf
CELL_PARAMETERS angstrom
7.050 0.000 0.000
0.000 7.050 0.000
0.000 0.000 2.763
ATOMIC_POSITIONS angstrom
Co 0.860 2.665 0.000
Co 2.665 6.190 0.000
Co 4.385 0.860 0.000
Co 6.190 4.385 0.000
Pt 0.000 0.000 0.000
Pt 3.525 3.525 0.000
Rh 1.219 4.744 1.382
Rh 2.306 1.219 1.382
Rh 4.744 5.830 1.382
Rh 5.830 2.306 1.382

=====

The evaluated DFT formation energy for the records listed, in turn: 277 -13 -29 369 -22 251 11 -27 -36 194 -63 1106 -34 -27 177 238 9 237 158 35 8 116 meV/atom.